No. 1
! MgAs2Rh4 | Alexandria via LeMat-Bulk | PBE | optimized geometry; values from VASP
! **M_tot**: 0.00 μB/atom
! **Formation energy**: -0.49 eV per atom
&SYSTEM
  ibrav = 0, nat = 28, ntyp = 3
/
ATOMIC_SPECIES
Mg 24.30 Mg.upf
As 74.92 As.upf
Rh 102.91 Rh.upf
CELL_PARAMETERS angstrom
18.0918 0.0000 0.0000
0.0000 4.0774 0.0000
0.0000 0.0000 5.8339
ATOMIC_POSITIONS crystal
Mg 0.1252 0.2500 0.0334
Mg 0.3748 0.7500 0.5334
Mg 0.6252 0.2500 0.4666
Mg 0.8748 0.7500 0.9666
As 0.0425 0.7500 0.2672
As 0.2044 0.2500 0.5995
As 0.2956 0.7500 0.0995
As 0.4575 0.2500 0.7672
As 0.5425 0.7500 0.2328
As 0.7044 0.2500 0.9005
As 0.7956 0.7500 0.4005
As 0.9575 0.2500 0.7328
Rh 0.0344 0.7500 0.8496
Rh 0.0751 0.2500 0.5121
Rh 0.1796 0.7500 0.3363
Rh 0.2000 0.7500 0.8244
Rh 0.3000 0.2500 0.3244
Rh 0.3204 0.2500 0.8363
Rh 0.4249 0.7500 0.0121
Rh 0.4656 0.2500 0.3496
Rh 0.5344 0.7500 0.6504
Rh 0.5751 0.2500 0.9879
Rh 0.6796 0.7500 0.1637
Rh 0.7000 0.7500 0.6756
Rh 0.8000 0.2500 0.1756
Rh 0.8204 0.2500 0.6637
Rh 0.9249 0.7500 0.4879
Rh 0.9656 0.2500 0.1504

***

No. 2
! MgAs2Rh | Alexandria via LeMat-Bulk | PBE | optimized geometry; values from VASP
! **M_tot**: 0.00 μB/atom
! **Formation energy**: -0.18 eV per atom
&SYSTEM
  ibrav = 0, nat = 4, ntyp = 3
/
ATOMIC_SPECIES
Mg 24.30 Mg.upf
As 74.92 As.upf
Rh 102.91 Rh.upf
CELL_PARAMETERS angstrom
-1.9766 1.9766 4.2777
1.9766 -1.9766 4.2777
1.9766 1.9766 -4.2777
ATOMIC_POSITIONS crystal
Mg 0.0000 0.0000 0.0000
As 0.5000 0.5000 0.0000
As 0.7500 0.2500 0.5000
Rh 0.2500 0.7500 0.5000

***

Question: What is the formula in the second record?
Answer: MgAs2Rh

***

Question: Which of these has the highest formation energy?
Answer: MgAs2Rh

***

Copy entry 2 word for word.
! MgAs2Rh | Alexandria via LeMat-Bulk | PBE | optimized geometry; values from VASP
! **M_tot**: 0.00 μB/atom
! **Formation energy**: -0.18 eV per atom
&SYSTEM
  ibrav = 0, nat = 4, ntyp = 3
/
ATOMIC_SPECIES
Mg 24.30 Mg.upf
As 74.92 As.upf
Rh 102.91 Rh.upf
CELL_PARAMETERS angstrom
-1.9766 1.9766 4.2777
1.9766 -1.9766 4.2777
1.9766 1.9766 -4.2777
ATOMIC_POSITIONS crystal
Mg 0.0000 0.0000 0.0000
As 0.5000 0.5000 0.0000
As 0.7500 0.2500 0.5000
Rh 0.2500 0.7500 0.5000